An optimized crystal structure of RbGeAu2F. Source: the Alexandria database, functional PBE.

```
RbGeAu2F
1.0
5.861 0.000 0.000
0.000 4.036 0.000
0.000 0.000 5.861
Ge Au Rb F
1 2 1 1
Cartesian
0.000 2.018 0.000
0.000 0.000 2.931
2.931 0.000 0.000
2.931 2.018 2.931
0.000 0.000 0.000
```

Formation energy from raw total energies in meV per atom: -120
Mass density in g cm⁻³: 6.84
Electronic total energy in eV per atom: -2.92
Size of the total moment in μB/atom: 0.000
Density of states at the Fermi level in states/eV/f.u.: 0.791
Space-group type: No. 123

---

An optimized crystal structure of Pm2YIn9. Source: the Alexandria database, functional PBE.

```
Pm2YIn9
1.0
4.680 0.000 0.000
0.000 4.680 0.000
0.000 0.000 14.038
Pm Y In
2 1 9
Cartesian
0.000 0.000 4.664
0.000 0.000 9.374
0.000 0.000 0.000
2.340 2.340 0.000
2.340 2.340 4.674
2.340 2.340 9.364
2.340 0.000 2.308
2.340 0.000 7.019
2.340 0.000 11.731
0.000 2.340 2.308
0.000 2.340 7.019
0.000 2.340 11.731
```

Mass density in g cm⁻³: 7.63
Electronic total energy in eV per atom: -3.84
Size of the total moment in μB/atom: 0.000
Density of states at the Fermi level in states/eV/f.u.: 4.786
Energy relative to the elements in eV/atom: -0.45
Space-group type: No. 123

---

An optimized crystal structure of BaSr2I. Source: the Alexandria database, functional PBE.

```
BaSr2I
1.0
4.345 0.000 0.000
2.173 3.763 0.000
2.173 1.254 12.149
Ba Sr I
1 2 1
Cartesian
4.345 2.509 6.073
2.173 1.254 9.601
2.173 1.254 2.544
4.345 2.509 0.006
```

Distance to the lowest polymorph of the same formula in meV per atom: 0
Formation energy from raw total energies in meV per atom: -597
Mass density in g cm⁻³: 3.67
Electronic total energy in eV per atom: -2.31
Size of the total moment in μB/atom: 0.001
Density of states at the Fermi level in states/eV/f.u.: 3.283
Space-group type: No. 160